one) Density functional theory data (PBE) for a relaxed AlCu2Pd6 crystal.

Crystal system: orthorhombic
Size of the total moment, μB per atom: 0.000
Space-group type: Fmmm, No. 69

Structure (POSCAR):
```
AlCu2Pd6
1.0
0.000 5.222 6.088
2.044 0.000 6.088
2.044 5.222 0.000
Al Cu Pd
1 2 6
Cartesian
0.000 0.000 0.000
2.044 5.222 3.987
2.044 5.222 8.188
2.044 3.581 1.993
2.044 6.864 1.993
2.044 3.640 6.088
2.044 6.805 6.088
2.044 3.581 10.183
2.044 6.864 10.183
```

two) Density functional theory data (PBE) for a relaxed AlCu2Pd6 crystal.

Crystal system: orthorhombic
Size of the total moment, μB per atom: 0.000
Space-group type: Immm, No. 71

Structure (POSCAR):
```
AlCu2Pd6
1.0
-2.062 2.918 6.155
2.062 -2.918 6.155
2.062 2.918 -6.155
Al Cu Pd
1 2 6
Cartesian
0.000 0.000 0.000
0.000 0.000 4.109
0.000 0.000 8.201
2.062 -1.472 4.124
2.062 1.432 0.000
0.000 1.447 2.031
2.062 1.472 4.124
0.000 1.486 6.155
0.000 4.390 2.031
```

Most stable to least stable, the ends of the list are one) and two).

one) Density functional theory data (PBE) for a relaxed AlCu2Pd8 crystal.

Crystal system: monoclinic
Size of the total moment, μB per atom: 0.000
Space-group type: C2/m, No. 12

Structure (POSCAR):
```
AlCu2Pd8
1.0
4.802 -4.354 0.000
4.802 4.354 0.000
-1.359 0.000 4.420
Al Cu Pd
1 2 8
Cartesian
0.000 0.000 0.000
0.597 0.000 2.351
7.648 0.000 2.070
3.719 2.273 0.873
2.378 0.000 0.491
4.526 2.273 3.548
3.079 0.000 3.100
5.166 0.000 1.320
3.719 -2.273 0.873
5.867 0.000 3.929
4.526 -2.273 3.548
```

two) Density functional theory data (PBE) for a relaxed AlCu2Pd8 crystal.

Crystal system: orthorhombic
Size of the total moment, μB per atom: 0.000
Space-group type: Immm, No. 71

Structure (POSCAR):
```
AlCu2Pd8
1.0
-2.066 3.525 5.698
2.066 -3.525 5.698
2.066 3.525 -5.698
Al Cu Pd
1 2 8
Cartesian
0.000 0.000 0.000
0.000 0.000 3.417
0.000 0.000 7.979
2.066 -1.543 3.923
2.066 0.000 1.596
2.066 2.200 0.000
0.000 1.982 1.776
2.066 1.543 3.923
0.000 1.325 5.698
0.000 3.525 4.102
0.000 5.069 1.776
```

Most stable to least stable, the ends of the list are two) and one).

one) Density functional theory data (PBE) for a relaxed AlCu6Pd12 crystal.

Crystal system: trigonal
Size of the total moment, μB per atom: 0.000
Space-group type: R-3, No. 148

Structure (POSCAR):
```
AlCu6Pd12
1.0
4.593 2.652 3.804
-4.593 2.652 3.804
0.000 -5.303 3.804
Al Cu Pd
1 6 12
Cartesian
0.000 0.000 0.000
-0.710 -2.873 4.223
-2.133 2.052 4.223
-2.843 -0.821 7.189
2.843 0.821 4.223
2.133 -2.052 7.189
0.710 2.873 7.189
-1.576 0.228 2.041
0.591 -1.479 2.041
-1.685 -0.479 4.682
0.985 1.251 2.041
-0.428 -1.698 6.730
1.257 -1.220 4.682
-1.257 1.220 6.730
0.428 1.698 4.682
-0.985 -1.251 9.371
1.685 0.479 6.730
-0.591 1.479 9.371
1.576 -0.228 9.371
```

two) Density functional theory data (PBE) for a relaxed AlCu6Pd12 crystal.

Crystal system: trigonal
Size of the total moment, μB per atom: 0.000
Space-group type: R-3, No. 148

Structure (POSCAR):
```
AlCu6Pd12
1.0
5.934 3.426 2.237
-5.934 3.426 2.237
0.000 -6.852 2.237
Al Cu Pd
1 6 12
Cartesian
0.000 0.000 0.000
-1.874 -2.533 2.227
-1.257 2.889 2.227
-3.130 0.356 4.483
3.130 -0.356 2.227
1.257 -2.889 4.483
1.874 2.533 4.483
-3.736 1.795 2.259
0.314 -4.133 2.259
-1.585 0.151 2.235
-3.422 -2.338 4.450
0.662 -1.448 2.235
0.923 1.297 2.235
-0.923 -1.297 4.475
-0.662 1.448 4.475
3.422 2.338 2.259
1.585 -0.151 4.475
-0.314 4.133 4.450
3.736 -1.795 4.450
```

Most stable to least stable, the ends of the list are two) and one).

one) Density functional theory data (PBE) for a relaxed AlCu2Pd2 crystal.

Crystal system: orthorhombic
Size of the total moment, μB per atom: 0.000
Space-group type: Imma, No. 74

Structure (POSCAR):
```
AlCu2Pd2
1.0
-2.139 2.765 6.139
2.139 -2.765 6.139
2.139 2.765 -6.139
Al Cu Pd
2 4 4
Cartesian
0.000 1.383 1.620
2.139 1.383 4.519
2.139 -1.383 4.725
2.139 1.383 0.003
0.000 1.383 6.135
0.000 4.148 1.414
2.139 -0.006 2.194
2.139 2.759 -2.194
0.000 0.006 8.332
0.000 2.772 3.945
```

two) Density functional theory data (PBE) for a relaxed AlCu2Pd2 crystal.

Crystal system: tetragonal
Size of the total moment, μB per atom: 0.000
Space-group type: P4/mbm, No. 127

Structure (POSCAR):
```
AlCu2Pd2
1.0
6.358 0.000 0.000
0.000 6.358 0.000
0.000 0.000 3.757
Al Cu Pd
2 4 4
Cartesian
0.000 0.000 0.000
3.179 3.179 0.000
0.963 2.216 1.879
2.216 5.395 1.879
4.142 0.963 1.879
5.395 4.142 1.879
0.942 4.120 0.000
2.237 0.942 0.000
4.120 5.416 0.000
5.416 2.237 0.000
```

Most stable to least stable, the ends of the list are one) and two).